Computed, not measured: BMo at its PBEsol-relaxed geometry at the meta-GGA SCAN level of DFT.

```
BMo
1.0
1.567 -4.225 0.000
1.567 4.225 0.000
0.000 0.000 3.070
B Mo
2 2
Direct
0.060 0.940 0.750
0.940 0.060 0.250
0.356 0.644 0.750
0.644 0.356 0.250
```

Output
Space group: Cmcm, No. 63
Volume in Å³/f.u.: 20.3
Polymorph energy (0 for the lowest one) in eV/atom: 0.011
Crystal system: orthorhombic


Computed, not measured: B2Mo at its PBEsol-relaxed geometry at the meta-GGA SCAN level of DFT.

```
B2Mo
1.0
1.501 0.866 6.928
-1.501 0.866 6.928
0.000 -1.733 6.928
B Mo
4 2
Direct
0.168 0.168 0.168
0.318 0.318 0.318
0.682 0.682 0.682
0.832 0.832 0.832
0.425 0.425 0.425
0.575 0.575 0.575
```

Output
Space group: R-3m, No. 166
Volume in Å³/f.u.: 27.0
Final energy in eV per atom: -17.005
Crystal system: trigonal


Computed, not measured: B2Mo3 at its PBEsol-relaxed geometry at the meta-GGA SCAN level of DFT.

```
B2Mo3
1.0
5.976 0.000 0.000
0.000 5.976 0.000
0.000 0.000 3.132
B Mo
4 6
Direct
0.113 0.387 0.000
0.387 0.887 0.000
0.613 0.113 0.000
0.887 0.613 0.000
0.000 0.000 0.000
0.173 0.673 0.500
0.327 0.173 0.500
0.500 0.500 0.000
0.673 0.827 0.500
0.827 0.327 0.500
```

Output
Space group: P4/mbm, No. 127
Volume in Å³/f.u.: 55.9
Final energy in eV per atom: -24.262
Crystal system: tetragonal


Computed, not measured: BMo at its PBEsol-relaxed geometry at the meta-GGA SCAN level of DFT.

```
BMo
1.0
-1.550 1.550 8.445
1.550 -1.550 8.445
1.550 1.550 -8.445
B Mo
4 4
Direct
0.030 0.280 0.750
0.280 0.030 0.250
0.720 0.970 0.750
0.970 0.720 0.250
0.178 0.428 0.750
0.428 0.178 0.250
0.572 0.822 0.750
0.822 0.572 0.250
```

Output
Space group: I4_1/amd, No. 141
Volume in Å³/f.u.: 20.3
Polymorph energy (0 for the lowest one) in eV/atom: 0.000
Crystal system: tetragonal


Computed, not measured: BMoN2 at its PBEsol-relaxed geometry at the meta-GGA SCAN level of DFT.

```
BMoN2
1.0
1.442 0.832 5.357
-1.442 0.832 5.357
0.000 -1.665 5.357
B Mo N
1 1 2
Direct
0.000 0.000 0.000
0.500 0.500 0.500
0.084 0.084 0.084
0.916 0.916 0.916
```

Output
Space group: R-3m, No. 166
Volume in Å³/f.u.: 38.6
Final energy in eV per atom: -15.649
Crystal system: trigonal


Computed, not measured: BMoN2 at its PBEsol-relaxed geometry at the meta-GGA SCAN level of DFT.

```
BMoN2
1.0
1.351 0.780 5.571
-1.351 0.780 5.571
0.000 -1.561 5.571
B Mo N
1 1 2
Direct
0.000 0.000 0.000
0.500 0.500 0.500
0.384 0.384 0.384
0.616 0.616 0.616
```

Output
Space group: R-3m, No. 166
Volume in Å³/f.u.: 35.2
Final energy in eV per atom: -14.475
Crystal system: trigonal


Computed, not measured: ZnBMoN2 at its PBEsol-relaxed geometry at the meta-GGA SCAN level of DFT.

```
ZnBMoN2
1.0
3.802 0.000 0.000
0.000 3.802 0.000
0.000 0.000 5.203
Zn B Mo N
1 1 1 2
Direct
0.000 0.000 0.000
0.500 0.500 0.000
0.000 0.000 0.500
0.000 0.500 0.500
0.500 0.000 0.500
```

Output
Space group: P4/mmm, No. 123
Volume in Å³/f.u.: 75.2
Final energy in eV per atom: -13.488
Crystal system: tetragonal


Computed, not measured: NaB3Mo at its PBEsol-relaxed geometry at the meta-GGA SCAN level of DFT.

```
NaB3Mo
1.0
3.907 0.000 0.000
0.000 3.907 0.000
0.000 0.000 3.907
Na B Mo
1 3 1
Direct
0.000 0.000 0.000
0.000 0.000 0.500
0.000 0.500 0.000
0.500 0.000 0.000
0.500 0.500 0.500
```

Output
Space group: Pm-3m, No. 221
Volume in Å³/f.u.: 59.6
Final energy in eV per atom: -9.360
Crystal system: cubic


Computed, not measured: NaB2Mo at its PBEsol-relaxed geometry at the meta-GGA SCAN level of DFT.

```
NaB2Mo
1.0
-3.043 3.043 3.233
3.043 -3.043 3.233
3.043 3.043 -3.233
Na B Mo
2 4 2
Direct
0.000 0.000 0.000
0.750 0.250 0.500
0.192 0.625 0.067
0.375 0.442 0.567
0.558 0.125 0.933
0.875 0.808 0.433
0.250 0.750 0.500
0.500 0.500 0.000
```

Output
Space group: I-42d, No. 122
Volume in Å³/f.u.: 59.9
Final energy in eV per atom: -12.465
Crystal system: tetragonal


Computed, not measured: NbB4Mo3 at its PBEsol-relaxed geometry at the meta-GGA SCAN level of DFT.

```
NbB4Mo3
1.0
6.169 0.000 0.000
0.000 1.587 4.262
0.000 -1.587 4.262
Nb B Mo
1 4 3
Direct
0.000 0.000 0.000
0.000 0.293 0.293
0.253 0.412 0.412
0.500 0.292 0.292
0.747 0.412 0.412
0.254 0.709 0.709
0.500 0.998 0.998
0.746 0.709 0.709
```

Output
Space group: Amm2, No. 38
Volume in Å³/f.u.: 83.5
Final energy in eV per atom: -21.489
Crystal system: orthorhombic


Computed, not measured: Nb2B2Mo at its PBEsol-relaxed geometry at the meta-GGA SCAN level of DFT.

```
Nb2B2Mo
1.0
6.083 0.000 0.000
0.000 6.083 0.000
0.000 0.000 3.266
Nb B Mo
4 4 2
Direct
0.179 0.321 0.000
0.321 0.821 0.000
0.679 0.179 0.000
0.821 0.679 0.000
0.109 0.609 0.500
0.391 0.109 0.500
0.609 0.891 0.500
0.891 0.391 0.500
0.000 0.000 0.500
0.500 0.500 0.500
```

Output
Space group: P4/mbm, No. 127
Volume in Å³/f.u.: 60.4
Final energy in eV per atom: -23.859
Crystal system: tetragonal